1.
# NbRuRh3 (meta-GGA SCAN, PBEsol geometry)
data_NbRuRh3
_chemical_formula_sum 'Nb1 Ru1 Rh3'
_space_group_name_H-M_alt 'P m -3 m'
_space_group_IT_number 221
_space_group_name_Hall '-P 4 2 3'
_cell_length_a 4.589
_cell_length_b 4.589
_cell_length_c 4.589
_cell_angle_alpha 90.00
_cell_angle_beta 90.00
_cell_angle_gamma 90.00
loop_
_atom_site_label
_atom_site_type_symbol
_atom_site_fract_x
_atom_site_fract_y
_atom_site_fract_z
Nb1 Nb 0.000 0.000 0.000
Ru1 Ru 0.500 0.500 0.500
Rh1 Rh 0.000 0.000 0.500
# Energy relative to the elements: 1.449 eV/atom

2.
# Nb3RhS (meta-GGA SCAN, PBEsol geometry)
data_Nb3RhS
_chemical_formula_sum 'Nb3 Rh1 S1'
_space_group_name_H-M_alt 'P m -3 m'
_space_group_IT_number 221
_space_group_name_Hall '-P 4 2 3'
_cell_length_a 4.769
_cell_length_b 4.769
_cell_length_c 4.769
_cell_angle_alpha 90.00
_cell_angle_beta 90.00
_cell_angle_gamma 90.00
loop_
_atom_site_label
_atom_site_type_symbol
_atom_site_fract_x
_atom_site_fract_y
_atom_site_fract_z
Nb1 Nb 0.000 0.000 0.500
Rh1 Rh 0.000 0.000 0.000
S1 S 0.500 0.500 0.500
# Formation energy (no corrections): 5.36 eV/f.u.

3.
# Nb2Si2Rh (meta-GGA SCAN, PBEsol geometry)
data_Nb2Si2Rh
_chemical_formula_sum 'Nb4 Si4 Rh2'
_space_group_name_H-M_alt 'P 4/m b m'
_space_group_IT_number 127
_space_group_name_Hall '-P 4 2ab'
_cell_length_a 6.246
_cell_length_b 6.246
_cell_length_c 3.786
_cell_angle_alpha 90.00
_cell_angle_beta 90.00
_cell_angle_gamma 90.00
loop_
_atom_site_label
_atom_site_type_symbol
_atom_site_fract_x
_atom_site_fract_y
_atom_site_fract_z
Nb1 Nb 0.170 0.330 0.000
Si1 Si 0.134 0.634 0.500
Rh1 Rh 0.000 0.000 0.500
# Formation energy (no corrections): -3.62 eV/f.u.

4.
# NbSiRh3 (meta-GGA SCAN, PBEsol geometry)
data_NbSiRh3
_chemical_formula_sum 'Nb1 Si1 Rh3'
_space_group_name_H-M_alt 'P m -3 m'
_space_group_IT_number 221
_space_group_name_Hall '-P 4 2 3'
_cell_length_a 4.643
_cell_length_b 4.643
_cell_length_c 4.643
_cell_angle_alpha 90.00
_cell_angle_beta 90.00
_cell_angle_gamma 90.00
loop_
_atom_site_label
_atom_site_type_symbol
_atom_site_fract_x
_atom_site_fract_y
_atom_site_fract_z
Nb1 Nb 0.000 0.000 0.000
Si1 Si 0.500 0.500 0.500
Rh1 Rh 0.000 0.000 0.500
# Formation energy (no corrections): 6.50 eV/f.u.

5.
# NbSiRh (meta-GGA SCAN, PBEsol geometry)
data_NbSiRh
_chemical_formula_sum 'Nb4 Si4 Rh4'
_space_group_name_H-M_alt 'P n m a'
_space_group_IT_number 62
_cell_length_a 6.377
_cell_length_b 3.738
_cell_length_c 7.281
_cell_angle_alpha 90.00
_cell_angle_beta 90.00
_cell_angle_gamma 90.00
loop_
_space_group_symop_operation_xyz
'x,y,z'
'-x,-y,-z'
'-x+1/2,-y,z+1/2'
'x+1/2,y,-z+1/2'
'x+1/2,-y+1/2,-z+1/2'
'-x+1/2,y+1/2,z+1/2'
'-x,y+1/2,-z'
'x,-y+1/2,z'
loop_
_atom_site_label
_atom_site_type_symbol
_atom_site_fract_x
_atom_site_fract_y
_atom_site_fract_z
Nb1 Nb 0.025 0.250 0.174
Si1 Si 0.231 0.750 0.375
Rh1 Rh 0.145 0.250 0.562
# Formation energy (no corrections): -2.91 eV/f.u.

6.
# SrNbRh2 (meta-GGA SCAN, PBEsol geometry)
data_SrNbRh2
_chemical_formula_sum 'Sr4 Nb4 Rh8'
_space_group_name_H-M_alt 'F m -3 m'
_space_group_IT_number 225
_space_group_name_Hall '-F 4 2 3'
_cell_length_a 6.611
_cell_length_b 6.611
_cell_length_c 6.611
_cell_angle_alpha 90.00
_cell_angle_beta 90.00
_cell_angle_gamma 90.00
loop_
_atom_site_label
_atom_site_type_symbol
_atom_site_fract_x
_atom_site_fract_y
_atom_site_fract_z
Sr1 Sr 0.000 0.000 0.000
Nb1 Nb 0.000 0.000 0.500
Rh1 Rh 0.250 0.250 0.250
# Energy relative to the elements: 0.076 eV/atom

7.
# SrNb3Rh (meta-GGA SCAN, PBEsol geometry)
data_SrNb3Rh
_chemical_formula_sum 'Sr1 Nb3 Rh1'
_space_group_name_H-M_alt 'P m -3 m'
_space_group_IT_number 221
_space_group_name_Hall '-P 4 2 3'
_cell_length_a 4.693
_cell_length_b 4.693
_cell_length_c 4.693
_cell_angle_alpha 90.00
_cell_angle_beta 90.00
_cell_angle_gamma 90.00
loop_
_atom_site_label
_atom_site_type_symbol
_atom_site_fract_x
_atom_site_fract_y
_atom_site_fract_z
Sr1 Sr 0.000 0.000 0.000
Nb1 Nb 0.000 0.000 0.500
Rh1 Rh 0.500 0.500 0.500
# Energy relative to the elements: 2.801 eV/atom

8.
# TaNbTe2Rh (meta-GGA SCAN, PBEsol geometry)
data_TaNbTe2Rh
_chemical_formula_sum 'Ta1 Nb1 Te2 Rh1'
_space_group_name_H-M_alt 'P 4/m m m'
_space_group_IT_number 123
_space_group_name_Hall '-P 4 2'
_cell_length_a 5.051
_cell_length_b 5.051
_cell_length_c 4.693
_cell_angle_alpha 90.00
_cell_angle_beta 90.00
_cell_angle_gamma 90.00
loop_
_atom_site_label
_atom_site_type_symbol
_atom_site_fract_x
_atom_site_fract_y
_atom_site_fract_z
Ta1 Ta 0.000 0.000 0.000
Nb1 Nb 0.500 0.500 0.000
Te1 Te 0.000 0.500 0.500
Rh1 Rh 0.000 0.000 0.500
# Formation energy (no corrections): 4.97 eV/f.u.